VASP calculation (PBE-GGA) on a relaxed Dy4InAg5 crystal.

## Properties
Space-group type: P4/mmm
DFT formation energy: -0.27 eV per atom
Mass density: 9.2 Mg/m³
E: -3.81 eV per atom

Lattice parameters (Å, degrees): 3.6512 3.6512 17.6106 90.00 90.00 90.00
Closest atoms and distances in Å follow each position.
Element x y z (fractional)
Ag 0.5000 0.5000 0.0949  4 In 3.08, 4 Dy 3.08, 1 Ag 3.34
Ag 0.5000 0.5000 0.2926  8 Dy 3.15-3.16, 1 Ag 3.48
Ag 0.5000 0.5000 0.5000  8 Dy 3.16
Ag 0.5000 0.5000 0.9051  4 In 3.08, 4 Dy 3.08, 1 Ag 3.34
Ag 0.5000 0.5000 0.7074  8 Dy 3.15-3.16, 1 Ag 3.48
Dy 0.0000 0.0000 0.3961  8 Ag 3.16
Dy 0.0000 0.0000 0.1905  8 Ag 3.08-3.15, 1 In 3.35
Dy 0.0000 0.0000 0.8095  8 Ag 3.08-3.15, 1 In 3.35
Dy 0.0000 0.0000 0.6039  8 Ag 3.16
In 0.0000 0.0000 0.0000  8 Ag 3.08, 2 Dy 3.35

VASP calculation (PBE-GGA) on a relaxed Ce4Tl4Sn crystal.

## Properties
Space-group type: I4/m
DFT formation energy: -0.11 eV per atom
Mass density: 9.4 Mg/m³
E: -4.25 eV per atom

Lattice parameters (Å, degrees): 6.0478 7.2560 7.2560 80.00 65.37 65.37
Closest atoms and distances in Å follow each position.
Element x y z (fractional)
Tl 0.6178 0.0806 0.6838  2 Tl 3.04, 2 Ce 3.19-3.24
Tl 0.3822 0.9194 0.3162  2 Tl 3.04, 2 Ce 3.19-3.24
Tl 0.3016 0.3162 0.0806  2 Tl 3.04, 2 Ce 3.19-3.24
Tl 0.6984 0.6838 0.9194  2 Tl 3.04, 2 Ce 3.19-3.24
Ce 0.6476 0.3910 0.3137  1 Ce 2.85, 1 Tl 3.19
Ce 0.0386 0.3137 0.6090  1 Ce 2.85, 1 Tl 3.19
Ce 0.9614 0.6863 0.3910  1 Ce 2.85, 1 Tl 3.19
Ce 0.3524 0.6090 0.6863  1 Ce 2.85, 1 Tl 3.19
Sn 0.0000 0.0000 0.0000  4 Ce 3.31

VASP calculation (PBE-GGA) on a relaxed Rb2DyPtO4 crystal.

## Properties
Space-group type: Fddd
Formation energy without anion corrections: -1409 meV/atom
Mass density: 3.8 Mg/m³
E: -5.46 eV per atom

Lattice parameters (Å, degrees): 6.1554 7.8209 12.1618 84.28 75.34 66.83
Closest atoms and distances in Å follow each position.
Element x y z (fractional)
O 0.8338 0.8041 0.9959  1 Pt 2.01, 1 Dy 2.16
O 0.3879 0.6959 0.4959  1 Pt 2.01, 1 Dy 2.16
O 0.6338 0.1959 0.0041  1 Pt 2.01, 1 Dy 2.16
O 0.1162 0.3041 0.4959  1 Pt 2.01, 1 Dy 2.16
O 0.9162 0.6959 0.5041  1 Pt 2.01, 1 Dy 2.16
O 0.3621 0.8041 0.0041  1 Pt 2.01, 1 Dy 2.16
O 0.1703 0.1959 0.9959  1 Pt 2.01, 1 Dy 2.16
O 0.5797 0.3041 0.5041  1 Pt 2.01, 1 Dy 2.16
Pt 0.2500 0.5000 0.5000  4 O 2.01
Pt 0.5000 0.0000 0.0000  4 O 2.01
Rb 0.1897 0.0000 0.6206  2 O 2.63
Rb 0.5603 0.5000 0.8794  2 O 2.63
Rb 0.8103 0.0000 0.3794  2 O 2.63
Rb 0.9397 0.5000 0.1206  2 O 2.63
Dy 0.7500 0.5000 0.5000  4 O 2.16
Dy 0.0000 0.0000 0.0000  4 O 2.16

VASP calculation (PBE-GGA) on a relaxed LaZn3Ga3 crystal.

## Properties
Energy above the lowest structure with this stoichiometry: 0 meV/atom
Space-group type: P2_1/m
DFT formation energy: -0.33 eV per atom
Mass density: 6.7 Mg/m³
E: -2.88 eV per atom

Lattice parameters (Å, degrees): 4.4335 7.0821 9.2913 113.24 90.00 90.00
Closest atoms and distances in Å follow each position.
Element x y z (fractional)
Ga 0.2500 0.7209 0.9537  4 Zn 2.54-2.63
Ga 0.7500 0.2791 0.0463  4 Zn 2.54-2.63
Ga 0.7500 0.6619 0.5184  4 Zn 2.61-2.75, 1 Ga 2.68
Ga 0.7500 0.9664 0.4161  2 Zn 2.61-2.70, 3 Ga 2.64-2.68
Ga 0.2500 0.0336 0.5839  2 Zn 2.61-2.70, 3 Ga 2.64-2.68
Ga 0.2500 0.3381 0.4816  4 Zn 2.61-2.75, 1 Ga 2.68
Zn 0.2500 0.1614 0.8882  3 Ga 2.61, 3 Zn 2.77-2.81
Zn 0.2500 0.1007 0.1648  2 Ga 2.63-2.75, 5 Zn 2.67-2.81
Zn 0.7500 0.2791 0.3199  5 Ga 2.54-2.70, 2 Zn 2.67
Zn 0.7500 0.8993 0.8352  2 Ga 2.63-2.75, 5 Zn 2.67-2.81
Zn 0.7500 0.8386 0.1118  3 Ga 2.61, 3 Zn 2.77-2.81
Zn 0.2500 0.7209 0.6801  5 Ga 2.54-2.70, 2 Zn 2.67
La 0.2500 0.6008 0.2461  9 Ga 3.15-3.41, 5 Zn 3.31-3.44
La 0.7500 0.3992 0.7539  9 Ga 3.15-3.41, 5 Zn 3.31-3.44

VASP calculation (PBE-GGA) on a relaxed NaPmMg2F8 crystal.

## Properties
Space-group type: I-4
Formation energy without anion corrections: -3569 meV/atom
Mass density: 3.8 Mg/m³
E: -5.59 eV per atom

Lattice parameters (Å, degrees): 5.3514 5.3514 6.7338 113.41 113.41 90.00
Closest atoms and distances in Å follow each position.
Element x y z (fractional)
F 0.3287 0.9105 0.3150  1 Mg 1.93
F 0.1654 0.6021 0.8302  1 Mg 1.92
F 0.9863 0.4044 0.3150  1 Mg 1.93
F 0.3979 0.3351 0.1698  1 Mg 1.92
F 0.0895 0.0137 0.6850  1 Mg 1.93
F 0.5956 0.6713 0.6850  1 Mg 1.93
F 0.7719 0.8346 0.1698  1 Mg 1.92
F 0.6649 0.2281 0.8302  1 Mg 1.92
Mg 0.2500 0.7500 0.5000  4 F 1.93
Mg 0.5000 0.5000 0.0000  4 F 1.92
Pm 0.0000 0.0000 0.0000  8 F 2.34-2.38
Na 0.7500 0.2500 0.5000  8 F 2.43-2.49

VASP calculation (PBE-GGA) on a relaxed TbPmNdDy3 crystal.

## Properties
Space-group type: Cmcm
DFT formation energy: 0.02 eV per atom
Mass density: 7.9 Mg/m³
E: -4.64 eV per atom

Lattice parameters (Å, degrees): 5.0710 8.0218 10.1451 90.00 90.00 108.43
Closest atoms and distances in Å follow each position.
Element x y z (fractional)
Dy 0.1680 0.3360 0.7500  6 Dy 3.56-3.59, 2 Tb 3.56, 2 Pm 3.60, 2 Nd 3.60
Dy 0.3318 0.6635 0.9999  5 Dy 3.55-3.59, 3 Tb 3.56-3.59, 2 Pm 3.60-3.61, 2 Nd 3.60
Dy 0.6682 0.3365 0.0001  5 Dy 3.55-3.59, 3 Tb 3.56-3.59, 2 Pm 3.60-3.61, 2 Nd 3.60
Dy 0.6682 0.3365 0.4999  5 Dy 3.55-3.59, 3 Tb 3.56-3.59, 2 Pm 3.60-3.61, 2 Nd 3.60
Dy 0.3318 0.6635 0.5001  5 Dy 3.55-3.59, 3 Tb 3.56-3.59, 2 Pm 3.60-3.61, 2 Nd 3.60
Dy 0.8320 0.6640 0.2500  6 Dy 3.56-3.59, 2 Tb 3.56, 2 Pm 3.60, 2 Nd 3.60
Nd 0.0000 0.0000 0.5000  4 Pm 3.59, 6 Dy 3.60, 2 Tb 3.60
Nd 0.0000 0.0000 0.0000  4 Pm 3.59, 6 Dy 3.60, 2 Tb 3.60
Tb 0.8319 0.6637 0.7500  8 Dy 3.56-3.59, 2 Nd 3.60, 2 Pm 3.60
Tb 0.1681 0.3363 0.2500  8 Dy 3.56-3.59, 2 Nd 3.60, 2 Pm 3.60
Pm 0.5002 0.0004 0.7500  4 Nd 3.59, 6 Dy 3.60-3.61, 2 Tb 3.60
Pm 0.4998 0.9996 0.2500  4 Nd 3.59, 6 Dy 3.60-3.61, 2 Tb 3.60